A plane-wave DFT calculation with PBE was carried out for a relaxed AlSiAs2Br crystal.

POSCAR file:
```
AlSiAs2Br
1.0
4.918 0.000 0.000
0.000 4.918 0.000
0.000 0.000 4.927
Al Si As Br
1 1 2 1
direct
0.000 0.000 0.000
0.500 0.500 0.500
0.000 0.500 0.000
0.500 0.000 0.000
0.000 0.000 0.500
```

Summary:
distance to the lowest polymorph of the same formula = 1.89 kcal/mol of atoms
energy relative to the elements, uncorrected = 614 meV per atom
M_tot = 0.000 μB/f.u.
calculated density = 3.97 g/cm3



A plane-wave DFT calculation with PBE was carried out for a relaxed Ag2Hg2Br7 crystal.

POSCAR file:
```
Ag2Hg2Br7
1.0
4.211 -6.901 0.000
4.211 6.901 0.000
-0.598 0.000 7.152
Ag Hg Br
2 2 7
direct
0.197 0.197 0.390
0.803 0.803 0.610
0.174 0.826 0.000
0.826 0.174 0.000
0.044 0.419 0.243
0.109 0.109 0.758
0.419 0.044 0.243
0.500 0.500 0.500
0.581 0.956 0.757
0.891 0.891 0.242
0.956 0.581 0.757
```

Summary:
distance to the lowest polymorph of the same formula = 0.00 kcal/mol of atoms
energy relative to the elements, uncorrected = -326 meV per atom
M_tot = 0.000 μB/f.u.
calculated density = 4.70 g/cm3



A plane-wave DFT calculation with PBE was carried out for a relaxed Dy2TmGa2 crystal.

POSCAR file:
```
Dy2TmGa2
1.0
7.620 0.000 0.000
0.000 7.620 0.000
0.000 0.000 4.298
Dy Tm Ga
4 2 4
direct
0.175 0.325 0.000
0.325 0.825 0.000
0.675 0.175 0.000
0.825 0.675 0.000
0.000 0.000 0.500
0.500 0.500 0.500
0.120 0.620 0.500
0.380 0.120 0.500
0.620 0.880 0.500
0.880 0.380 0.500
```

Summary:
M_tot = 0.000 μB/f.u.
calculated density = 8.43 g/cm3
E_form = -534 meV/atom



A plane-wave DFT calculation with PBE was carried out for a relaxed ZnAgBr3 crystal.

POSCAR file:
```
ZnAgBr3
1.0
5.174 0.000 0.000
0.000 5.174 0.000
0.000 0.000 5.174
Zn Ag Br
1 1 3
direct
0.000 0.000 0.000
0.500 0.500 0.500
0.000 0.000 0.500
0.000 0.500 0.000
0.500 0.000 0.000
```

Summary:
distance to the lowest polymorph of the same formula = 8.61 kcal/mol of atoms
energy relative to the elements, uncorrected = -273 meV per atom
M_tot = 0.000 μB/f.u.
calculated density = 4.95 g/cm3



A plane-wave DFT calculation with PBE was carried out for a relaxed Mg2CoRh2 crystal.

POSCAR file:
```
Mg2CoRh2
1.0
6.305 0.000 0.000
0.000 6.305 0.000
0.000 0.000 4.088
Mg Co Rh
4 2 4
direct
0.170 0.330 0.000
0.330 0.830 0.000
0.670 0.170 0.000
0.830 0.670 0.000
0.000 0.000 0.500
0.500 0.500 0.500
0.140 0.640 0.500
0.360 0.140 0.500
0.640 0.860 0.500
0.860 0.360 0.500
```

Summary:
M_tot = 2.583 μB/f.u.
calculated density = 6.40 g/cm3
E_form = -140 meV/atom



A plane-wave DFT calculation with PBE was carried out for a relaxed Hf4BiRh crystal.

POSCAR file:
```
Hf4BiRh
1.0
3.951 -6.260 0.000
3.951 6.260 0.000
-1.821 0.000 5.263
Hf Bi Rh
8 2 2
direct
0.096 0.711 0.943
0.177 0.373 0.637
0.289 0.904 0.557
0.373 0.177 0.137
0.627 0.823 0.863
0.711 0.096 0.443
0.823 0.627 0.363
0.904 0.289 0.057
0.396 0.604 0.250
0.604 0.396 0.750
0.005 0.995 0.250
0.995 0.005 0.750
```

Summary:
M_tot = 0.000 μB/f.u.
calculated density = 13.09 g/cm3
E_form = -294 meV/atom



Repeat the fourth record exactly.
A plane-wave DFT calculation with PBE was carried out for a relaxed ZnAgBr3 crystal.

POSCAR file:
```
ZnAgBr3
1.0
5.174 0.000 0.000
0.000 5.174 0.000
0.000 0.000 5.174
Zn Ag Br
1 1 3
direct
0.000 0.000 0.000
0.500 0.500 0.500
0.000 0.000 0.500
0.000 0.500 0.000
0.500 0.000 0.000
```

Summary:
distance to the lowest polymorph of the same formula = 8.61 kcal/mol of atoms
energy relative to the elements, uncorrected = -273 meV per atom
M_tot = 0.000 μB/f.u.
calculated density = 4.95 g/cm3



What did the first record say?
A plane-wave DFT calculation with PBE was carried out for a relaxed AlSiAs2Br crystal.

POSCAR file:
```
AlSiAs2Br
1.0
4.918 0.000 0.000
0.000 4.918 0.000
0.000 0.000 4.927
Al Si As Br
1 1 2 1
direct
0.000 0.000 0.000
0.500 0.500 0.500
0.000 0.500 0.000
0.500 0.000 0.000
0.000 0.000 0.500
```

Summary:
distance to the lowest polymorph of the same formula = 1.89 kcal/mol of atoms
energy relative to the elements, uncorrected = 614 meV per atom
M_tot = 0.000 μB/f.u.
calculated density = 3.97 g/cm3



M_tot of number 4 (ZnAgBr3)?
0.000 μB/f.u.



What is the M_tot in the fifth record?
2.583 μB/f.u.